Crystalline MnV3O9 at its relaxed geometry. Source: Alexandria via LeMat-Bulk, functional PBE+U.

The structure in extended XYZ format:
```
26
Lattice="7.2168 -3.5315 0.0000 7.2168 3.5315 0.0000 -6.4238 0.0000 8.2274" Properties=species:S:1:pos:R:3 pbc="T T T"
Mn 4.0049 1.7693 4.1137
Mn 7.2168 -1.7693 0.0000
V -3.3748 0.6913 6.6764
V -0.1629 -0.6913 2.5627
V 0.9538 0.6860 5.6636
V 4.1657 -0.6860 1.5499
V 9.2161 0.1685 2.0549
V 6.0042 -0.1685 6.1686
O 0.3200 0.3072 1.2502
O -2.8919 -0.3072 5.3640
O 5.4039 2.6538 2.6246
O -2.8096 0.0074 8.2266
O 0.4023 -0.0074 4.1128
O 2.6020 0.8878 5.6049
O 3.6880 0.3140 2.8634
O 0.4761 -0.3140 6.9771
O 7.8449 1.2120 2.4768
O 5.5326 0.7950 4.8444
O 5.8139 -0.8878 1.4911
O 10.5766 1.2239 1.6282
O 6.4838 0.7852 7.4969
O 8.7445 -0.7950 0.7307
O 4.6330 -1.2120 6.5905
O 2.1920 -2.6538 6.7383
O 9.6957 -0.7852 3.3831
O 7.3646 -1.2239 5.7419
```

Results
M_tot = 4.00 μB/f.u.
symmetry = No. 9
final energy = -7.50 eV per atom
mass density = 2.786 g/cm³